1.
The following is a DFT calculation (PBE) of an optimized crystal structure of Hf2Sb2Mo.

Properties
The calculation puts the formation energy from raw total energies at -0.12 eV/atom. Its density of states at the Fermi level is 0.68 states/eV per atom.

Lattice parameters (Å, degrees): 7.2562 7.2562 3.9974 90.00 90.00 90.00
With the nearest neighbours (Å) after each atom.
Space group P4/mbm (No. 127)
Inequivalent atoms, fractional coordinates:
1 Hf 0.1536 0.3464 0.0000 (multiplicity 4)  6 Sb 2.84-2.97, 1 Hf 3.15
2 Sb 0.1498 0.6498 0.5000 (multiplicity 4)  2 Mo 2.76, 6 Hf 2.84-2.97, 1 Sb 3.07
3 Mo 0.0000 0.0000 0.5000 (multiplicity 2)  4 Sb 2.76

=====

2.
The following is a DFT calculation (PBE) of an optimized crystal structure of HfSbMo3.

Properties
Its excess energy over the best structure of this formula in the dataset is 0.204 eV per atom. The calculation puts the formation energy from raw total energies at 1.84 eV/atom. Its density of states at the Fermi level is 1.51 states/eV per atom.

Lattice parameters (Å, degrees): 4.8362 4.8362 4.8362 90.00 90.00 90.00
With the nearest neighbours (Å) after each atom.
Space group Pm-3m (No. 221)
Inequivalent atoms, fractional coordinates:
1 Hf 0.0000 0.0000 0.0000 (multiplicity 1)  6 Mo 2.42
2 Sb 0.5000 0.5000 0.5000 (multiplicity 1)  12 Mo 3.42
3 Mo 0.0000 0.0000 0.5000 (multiplicity 3)  2 Hf 2.42

=====

3.
The following is a DFT calculation (PBE) of an optimized crystal structure of HfSb2Mo.

Properties
Its excess energy over the best structure of this formula in the dataset is 0.000 eV per atom. The calculation puts the formation energy from raw total energies at -0.03 eV/atom. Its density of states at the Fermi level is 0.40 states/eV per atom.

Lattice parameters (Å, degrees): 6.8607 6.8607 6.8607 90.00 90.00 90.00
With the nearest neighbours (Å) after each atom.
Space group Fm-3m (No. 225)
Inequivalent atoms, fractional coordinates:
1 Hf 0.0000 0.0000 0.0000 (multiplicity 4)  8 Sb 2.97
2 Sb 0.2500 0.2500 0.2500 (multiplicity 8)  4 Mo 2.97, 4 Hf 2.97
3 Mo 0.0000 0.0000 0.5000 (multiplicity 4)  8 Sb 2.97

=====

4.
The following is a DFT calculation (PBE) of an optimized crystal structure of HfSb2Mo.

Properties
Its excess energy over the best structure of this formula in the dataset is 0.380 eV per atom. The calculation puts the formation energy from raw total energies at 0.35 eV/atom. Its density of states at the Fermi level is 0.72 states/eV per atom.

Lattice parameters (Å, degrees): 4.2676 4.2676 19.8627 90.00 90.00 90.00
With the nearest neighbours (Å) after each atom.
Space group I-42d (No. 122)
Inequivalent atoms, fractional coordinates:
1 Hf 0.0000 0.0000 0.0000 (multiplicity 4)  4 Sb 2.92, 4 Mo 3.02
2 Sb 0.2381 0.2500 0.6250 (multiplicity 8)  2 Mo 2.89, 2 Hf 2.92, 4 Sb 2.95-3.09
3 Mo 0.0000 0.0000 0.5000 (multiplicity 4)  4 Sb 2.89, 4 Hf 3.02

=====

- Which value of formation energy from raw total energies does entry 4 give?
  0.35 eV/atom

=====

Repeat the first record exactly.
The following is a DFT calculation (PBE) of an optimized crystal structure of Hf2Sb2Mo.

Properties
The calculation puts the formation energy from raw total energies at -0.12 eV/atom. Its density of states at the Fermi level is 0.68 states/eV per atom.

Lattice parameters (Å, degrees): 7.2562 7.2562 3.9974 90.00 90.00 90.00
With the nearest neighbours (Å) after each atom.
Space group P4/mbm (No. 127)
Inequivalent atoms, fractional coordinates:
1 Hf 0.1536 0.3464 0.0000 (multiplicity 4)  6 Sb 2.84-2.97, 1 Hf 3.15
2 Sb 0.1498 0.6498 0.5000 (multiplicity 4)  2 Mo 2.76, 6 Hf 2.84-2.97, 1 Sb 3.07
3 Mo 0.0000 0.0000 0.5000 (multiplicity 2)  4 Sb 2.76